The following is a DFT calculation (GGA-PBE) of a geometry-optimized ScPSeN2 structure.

## Properties
M_tot (μB per cell): 1.0
E_tot (eV per atom): -5.397

Lattice parameters (Å, degrees): 3.992 3.992 5.742 90.00 90.00 90.00
Fractional positions:
Sc (0.000, 0.000, 0.000)
P (0.500, 0.500, 0.500)
Se (0.000, 0.000, 0.500)
N (0.000, 0.500, 0.000)
N (0.500, 0.000, 0.000)